Record 1
Material: AgIO6
Method: DFT, PBE
State: relaxed

Cell: 5.3002 5.3002 5.3002 Å, 60.00 60.00 60.00°
Closest atoms and distances in Å follow each position.
Element x y z (fractional)
1 Ag 0.0000 0.0000 0.0000  12 O 2.65
2 I 0.2500 0.2500 0.2500  6 O 1.87
3 O 0.0002 0.0002 0.4998  1 I 1.87
4 O 0.0002 0.4998 0.0002  1 I 1.87
5 O 0.0002 0.4998 0.4998  1 I 1.87
6 O 0.4998 0.0002 0.0002  1 I 1.87
7 O 0.4998 0.0002 0.4998  1 I 1.87
8 O 0.4998 0.4998 0.0002  1 I 1.87

Properties
Total energy   -3.661 eV/atom
Symmetry   F-43m (216)

Record 2
Material: Ag5IO6
Method: DFT, PBE
State: relaxed

Cell: 11.3551 11.3551 11.3551 Å, 30.23 30.23 30.23°
Closest atoms and distances in Å follow each position.
Element x y z (fractional)
1 Ag 0.0467 0.7500 0.4533  2 O 2.21
2 Ag 0.1487 0.1487 0.1487  6 O 2.45-2.63
3 Ag 0.2500 0.5467 0.9533  2 O 2.21
4 Ag 0.3513 0.3513 0.3513  6 O 2.45-2.63
5 Ag 0.4533 0.0467 0.7500  2 O 2.21
6 Ag 0.5467 0.9533 0.2500  2 O 2.21
7 Ag 0.6487 0.6487 0.6487  6 O 2.45-2.63
8 Ag 0.7500 0.4533 0.0467  2 O 2.21
9 Ag 0.8513 0.8513 0.8513  6 O 2.45-2.63
10 Ag 0.9533 0.2500 0.5467  2 O 2.21
11 I 0.0000 0.0000 0.0000  6 O 1.93
12 I 0.5000 0.5000 0.5000  6 O 1.93
13 O 0.0134 0.6775 0.2077  1 I 1.93
14 O 0.1775 0.5134 0.7077  1 I 1.93
15 O 0.2077 0.0134 0.6775  1 I 1.93
16 O 0.2923 0.8225 0.4866  1 I 1.93
17 O 0.3225 0.7923 0.9866  1 I 1.93
18 O 0.4866 0.2923 0.8225  1 I 1.93
19 O 0.5134 0.7077 0.1775  1 I 1.93
20 O 0.6775 0.2077 0.0134  1 I 1.93
21 O 0.7077 0.1775 0.5134  1 I 1.93
22 O 0.7923 0.9866 0.3225  1 I 1.93
23 O 0.8225 0.4866 0.2923  1 I 1.93
24 O 0.9866 0.3225 0.7923  1 I 1.93

Properties
Total energy   -3.947 eV/atom
Symmetry   R-3c (167)

Record 3
Material: AgI3O8
Method: DFT, PBE
State: relaxed

Cell: 12.8640 12.8640 12.8640 Å, 143.76 143.76 52.19°
Closest atoms and distances in Å follow each position.
Element x y z (fractional)
1 Ag 0.1158 0.6158 0.5000  4 O 2.40-2.44
2 Ag 0.1297 0.1297 0.0000  4 O 2.38-2.45
3 Ag 0.3842 0.8842 0.5000  4 O 2.40-2.44
4 Ag 0.8703 0.8703 0.0000  4 O 2.38-2.45
5 I 0.0254 0.5521 0.0235  3 O 1.82-1.98
6 I 0.2438 0.2209 0.5142  3 O 1.82-2.00
7 I 0.2704 0.7562 0.9771  3 O 1.82-2.00
8 I 0.3471 0.3471 0.0000  4 O 1.86-2.06
9 I 0.4479 0.4714 0.4733  3 O 1.82-1.98
10 I 0.5286 0.0019 0.9765  3 O 1.82-1.98
11 I 0.5999 0.0999 0.5000  4 O 1.86-2.06
12 I 0.6529 0.6529 0.0000  4 O 1.86-2.06
13 I 0.7067 0.7296 0.4858  3 O 1.82-2.00
14 I 0.7791 0.2933 0.0229  3 O 1.82-2.00
15 I 0.9001 0.4001 0.5000  4 O 1.86-2.06
16 I 0.9981 0.9746 0.5267  3 O 1.82-1.98
17 O 0.0026 0.6240 0.7247  1 I 1.86
18 O 0.0096 0.3016 0.1730  1 I 1.83
19 O 0.0558 0.7899 0.2629  1 I 1.82
20 O 0.1236 0.2520 0.7861  1 I 1.86
21 O 0.1286 0.8365 0.8270  1 I 1.83
22 O 0.1490 0.3191 0.6475  2 I 2.00-2.06
23 O 0.1635 0.9904 0.2921  1 I 1.83
24 O 0.2070 0.9442 0.7341  1 I 1.82
25 O 0.2101 0.4730 0.2659  1 I 1.82
26 O 0.2563 0.5817 0.1606  2 I 1.98-2.06
27 O 0.3014 0.5458 0.7711  1 I 1.82
28 O 0.3760 0.1006 0.3786  1 I 1.86
29 O 0.4183 0.5789 0.6746  2 I 1.98-2.06
30 O 0.4211 0.0957 0.8394  2 I 1.98-2.06
31 O 0.4424 0.2431 0.3320  1 I 1.84
32 O 0.4542 0.2254 0.7557  1 I 1.82
33 O 0.4660 0.3375 0.2139  1 I 1.86
34 O 0.4697 0.6986 0.2443  1 I 1.82
35 O 0.4985 0.8510 0.1701  2 I 2.00-2.06
36 O 0.5270 0.7930 0.7371  1 I 1.82
37 O 0.6625 0.8764 0.1284  1 I 1.86
38 O 0.6716 0.5015 0.3525  2 I 2.00-2.06
39 O 0.6809 0.3284 0.8299  2 I 2.00-2.06
40 O 0.6984 0.8714 0.7079  1 I 1.83
41 O 0.7220 0.9974 0.6214  1 I 1.86
42 O 0.7480 0.5340 0.8716  1 I 1.86
43 O 0.7569 0.0889 0.1993  1 I 1.84
44 O 0.7746 0.5303 0.2289  1 I 1.82
45 O 0.8895 0.5576 0.8007  1 I 1.84
46 O 0.8994 0.2780 0.2753  1 I 1.86
47 O 0.9043 0.7437 0.3254  2 I 1.98-2.06
48 O 0.9111 0.1105 0.6680  1 I 1.84

Properties
Total energy   -4.191 eV/atom
Symmetry   I-4 (82)